No. 1
The following is a PBE calculation of crystalline CsCuHg3 at its relaxed geometry, from Alexandria via LeMat-Bulk.

Lattice parameters (Å, degrees): 5.373 5.373 5.373 90.00 90.00 90.00
Fractional coordinates of all 5 atoms:
Cs 0.000 0.000 0.000
Cu 0.500 0.500 0.500
Hg 0.000 0.500 0.500
Hg 0.500 0.000 0.500
Hg 0.500 0.500 0.000

Output
ΔE_f   -99 meV per atom
Spin magnetization   0.00 μB per formula unit


No. 2
The following is a PBE calculation of crystalline CaMgNO2 at its relaxed geometry, from Alexandria via LeMat-Bulk.

Lattice parameters (Å, degrees): 3.974 3.974 4.058 90.00 90.00 90.00
Fractional coordinates of all 5 atoms:
Ca 0.000 0.000 0.000
Mg 0.500 0.500 0.500
N 0.500 0.500 0.000
O 0.000 0.500 0.500
O 0.500 0.000 0.500

Output
Energy   -5.314 eV per atom
Spin magnetization   3.00 μB per formula unit


No. 3
The following is a PBE calculation of crystalline La4SmMg5 at its relaxed geometry, from Alexandria via LeMat-Bulk.

Lattice parameters (Å, degrees): 3.938 3.938 19.732 90.00 90.00 90.00
Fractional coordinates of all 10 atoms:
La 0.000 0.000 0.102
La 0.000 0.000 0.304
La 0.000 0.000 0.696
La 0.000 0.000 0.898
Sm 0.000 0.000 0.500
Mg 0.500 0.500 0.000
Mg 0.500 0.500 0.203
Mg 0.500 0.500 0.406
Mg 0.500 0.500 0.594
Mg 0.500 0.500 0.797

Output
ΔE_f   -112 meV per atom
Spin magnetization   0.00 μB per formula unit


No. 4
The following is a PBE calculation of crystalline ScTaN2F at its relaxed geometry, from Alexandria via LeMat-Bulk.

Lattice parameters (Å, degrees): 4.172 4.172 3.682 90.00 90.00 90.00
Fractional coordinates of all 5 atoms:
Sc 0.000 0.000 0.000
Ta 0.500 0.500 0.500
N 0.000 0.500 0.000
N 0.500 0.000 0.000
F 0.000 0.000 0.500

Output
Energy   -7.634 eV per atom
Spin magnetization   0.91 μB per formula unit


No. 5
The following is a PBE calculation of crystalline Th6Ge2Te3As at its relaxed geometry, from Alexandria via LeMat-Bulk.

Lattice parameters (Å, degrees): 9.881 9.881 8.852 104.67 104.67 25.48
Fractional coordinates of all 12 atoms:
Th 0.007 0.007 0.231
Th 0.325 0.325 0.436
Th 0.341 0.341 0.899
Th 0.659 0.659 0.101
Th 0.675 0.675 0.564
Th 0.993 0.993 0.769
Ge 0.166 0.166 0.332
Ge 0.834 0.834 0.668
Te 0.167 0.167 0.833
Te 0.500 0.500 0.500
Te 0.833 0.833 0.167
As 0.500 0.500 0.000

Output
Energy   -6.742 eV per atom
Spin magnetization   0.00 μB per formula unit


No. 6
The following is a PBE calculation of crystalline CuIr3Rh2 at its relaxed geometry, from Alexandria via LeMat-Bulk.

Lattice parameters (Å, degrees): 7.187 7.187 4.706 90.19 90.19 44.33
Fractional coordinates of all 12 atoms:
Cu 0.111 0.889 0.750
Cu 0.889 0.111 0.250
Ir 0.210 0.459 0.922
Ir 0.392 0.608 0.250
Ir 0.459 0.210 0.422
Ir 0.541 0.790 0.578
Ir 0.608 0.392 0.750
Ir 0.790 0.541 0.078
Rh 0.040 0.293 0.583
Rh 0.293 0.040 0.083
Rh 0.707 0.960 0.917
Rh 0.960 0.707 0.417

Output
ΔE_f   45 meV per atom
Spin magnetization   0.00 μB per formula unit


Please write out number 6 again, unchanged.
The following is a PBE calculation of crystalline CuIr3Rh2 at its relaxed geometry, from Alexandria via LeMat-Bulk.

Lattice parameters (Å, degrees): 7.187 7.187 4.706 90.19 90.19 44.33
Fractional coordinates of all 12 atoms:
Cu 0.111 0.889 0.750
Cu 0.889 0.111 0.250
Ir 0.210 0.459 0.922
Ir 0.392 0.608 0.250
Ir 0.459 0.210 0.422
Ir 0.541 0.790 0.578
Ir 0.608 0.392 0.750
Ir 0.790 0.541 0.078
Rh 0.040 0.293 0.583
Rh 0.293 0.040 0.083
Rh 0.707 0.960 0.917
Rh 0.960 0.707 0.417

Output
ΔE_f   45 meV per atom
Spin magnetization   0.00 μB per formula unit


What did the fourth record say?
The following is a PBE calculation of crystalline ScTaN2F at its relaxed geometry, from Alexandria via LeMat-Bulk.

Lattice parameters (Å, degrees): 4.172 4.172 3.682 90.00 90.00 90.00
Fractional coordinates of all 5 atoms:
Sc 0.000 0.000 0.000
Ta 0.500 0.500 0.500
N 0.000 0.500 0.000
N 0.500 0.000 0.000
F 0.000 0.000 0.500

Output
Energy   -7.634 eV per atom
Spin magnetization   0.91 μB per formula unit


Please write out number 5 again, unchanged.
The following is a PBE calculation of crystalline Th6Ge2Te3As at its relaxed geometry, from Alexandria via LeMat-Bulk.

Lattice parameters (Å, degrees): 9.881 9.881 8.852 104.67 104.67 25.48
Fractional coordinates of all 12 atoms:
Th 0.007 0.007 0.231
Th 0.325 0.325 0.436
Th 0.341 0.341 0.899
Th 0.659 0.659 0.101
Th 0.675 0.675 0.564
Th 0.993 0.993 0.769
Ge 0.166 0.166 0.332
Ge 0.834 0.834 0.668
Te 0.167 0.167 0.833
Te 0.500 0.500 0.500
Te 0.833 0.833 0.167
As 0.500 0.500 0.000

Output
Energy   -6.742 eV per atom
Spin magnetization   0.00 μB per formula unit